{
  "formula": "Ac3CePr3S8",
  "functional": "PBE-GGA",
  "state": "relaxed",
  "e_tot_ev_per_atom": -6.39,
  "sg": "R-3m",
  "dos_at_fermi_per_ev_atom": 0.84,
  "volume_a3_per_cell": 416.2,
  "raw_formation_energy_ev_per_atom": -2.02,
  "lattice": [[4.1572, 2.4002, 6.9528], [-4.1572, 2.4002, 6.9528], [0.0000, -4.8003, 6.9528]],
  "species": ["Ac", "Ac", "Ac", "Ce", "Pr", "Pr", "Pr", "S", "S", "S", "S", "S", "S", "S", "S"],
  "frac_coords": [[0.0000, 0.5000, 0.5000], [0.5000, 0.0000, 0.5000], [0.5000, 0.5000, 0.0000], [0.5000, 0.5000, 0.5000], [0.0000, 0.0000, 0.5000], [0.0000, 0.5000, 0.0000], [0.5000, 0.0000, 0.0000], [0.2462, 0.2462, 0.2462], [0.2492, 0.7432, 0.7432], [0.2568, 0.2568, 0.7508], [0.2568, 0.7507, 0.2568], [0.7432, 0.2492, 0.7432], [0.7432, 0.7432, 0.2492], [0.7508, 0.2568, 0.2568], [0.7538, 0.7538, 0.7538]]
}